Crystalline BaHfTi2Si at its relaxed geometry. Source: Alexandria via LeMat-Bulk, functional PBE.

VASP energy: -6.16 eV per atom
Mass density: 5.89 g/cm³
ΔE_f (raw): 0.45 eV/atom

Lattice parameters (Å, degrees): 4.9114 4.9114 5.1352 90.00 90.00 90.00
With the nearest neighbours (Å) after each atom.
Element x y z (fractional)
Ba: 0.0000 0.0000 0.0000  4 Hf 3.47, 8 Ti 3.55
Hf: 0.5000 0.5000 0.0000  2 Si 2.57
Ti: 0.0000 0.5000 0.5000  2 Si 2.46
Ti: 0.5000 0.0000 0.5000  2 Si 2.46
Si: 0.5000 0.5000 0.5000  4 Ti 2.46, 2 Hf 2.57